Entry 1:
Ce3UCo8 after structural relaxation. Source: Alexandria, functional GGA-PBE.

Computed properties:
- formation energy (eV per formula unit) = -2.83
- spin magnetization (μB per formula unit) = 0.26
- N(E_F) (states/eV/atom) = 1.28
- space group = R3m (160)

Cell: 8.5837 8.5837 8.5837 Å, 33.61 33.61 33.61°
Closest atoms and distances in Å follow each position.
Fractional coordinates of all 12 atoms:
Ce (0.0000, 0.0000, 0.0000)  12 Co 2.91-2.94, 4 Ce 3.03-3.04
Ce (0.1252, 0.1252, 0.1252)  12 Co 2.88-2.91, 1 Ce 3.04, 3 U 3.05
Ce (0.6267, 0.6267, 0.6267)  12 Co 2.91-2.94, 3 Ce 3.03, 1 U 3.04
U (0.5014, 0.5014, 0.5014)  12 Co 2.87-2.91, 4 Ce 3.04-3.05
Co (0.0625, 0.0625, 0.5600)  6 Co 2.44-2.51
Co (0.0625, 0.5600, 0.0625)  6 Co 2.44-2.51
Co (0.0689, 0.5635, 0.5635)  6 Co 2.45-2.51
Co (0.3134, 0.3134, 0.3134)  6 Co 2.51
Co (0.5600, 0.0625, 0.0625)  6 Co 2.44-2.51
Co (0.5635, 0.0689, 0.5635)  6 Co 2.45-2.51
Co (0.5635, 0.5635, 0.0689)  6 Co 2.45-2.51
Co (0.8139, 0.8139, 0.8139)  6 Co 2.44-2.46

Entry 2:
CeU2Co9 after structural relaxation. Source: Alexandria, functional GGA-PBE.

Computed properties:
- formation energy (eV per formula unit) = -2.17
- spin magnetization (μB per formula unit) = 2.96
- N(E_F) (states/eV/atom) = 1.52
- space group = R-3m (166)

Cell: 8.5950 8.5950 8.5950 Å, 32.64 32.64 32.64°
Closest atoms and distances in Å follow each position.
Fractional coordinates of all 12 atoms:
Ce (0.0000, 0.0000, 0.0000)  6 Co 2.79
U (0.1395, 0.1395, 0.1395)  12 Co 2.77-3.03, 3 U 3.09
U (0.8605, 0.8605, 0.8605)  12 Co 2.77-3.03, 3 U 3.09
Co (0.0837, 0.5835, 0.5835)  7 Co 2.41-2.47
Co (0.3332, 0.3332, 0.3332)  6 Co 2.47
Co (0.4165, 0.4165, 0.9163)  7 Co 2.41-2.47
Co (0.4165, 0.9163, 0.4165)  7 Co 2.41-2.47
Co (0.5000, 0.5000, 0.5000)  6 Co 2.46
Co (0.5835, 0.0837, 0.5835)  7 Co 2.41-2.47
Co (0.5835, 0.5835, 0.0837)  7 Co 2.41-2.47
Co (0.6668, 0.6668, 0.6668)  6 Co 2.47
Co (0.9163, 0.4165, 0.4165)  7 Co 2.41-2.47

Entry 3:
CeUCo after structural relaxation. Source: Alexandria, functional GGA-PBE.

Computed properties:
- formation energy (eV per formula unit) = 0.05
- spin magnetization (μB per formula unit) = 0.00
- N(E_F) (states/eV/atom) = 2.17
- space group = I4mm (107)

Cell: 5.9308 5.9308 5.9308 Å, 147.08 147.08 47.25°
Closest atoms and distances in Å follow each position.
Fractional coordinates of all 3 atoms:
Ce (0.0000, 0.0000, 0.0000)  5 U 3.08-3.34, 5 Co 3.23-3.24, 4 Ce 3.36
U (0.7165, 0.7165, 0.0000)  4 Co 2.53
Co (0.2970, 0.2970, 0.0000)  4 U 2.53

Entry 4:
CeUCo after structural relaxation. Source: Alexandria, functional GGA-PBE.

Computed properties:
- formation energy (eV per formula unit) = 0.38
- spin magnetization (μB per formula unit) = 1.45
- N(E_F) (states/eV/atom) = 2.69
- space group = P3m1 (156)

Cell: 4.2557 4.2557 3.8823 Å, 90.00 90.00 120.00°
Closest atoms and distances in Å follow each position.
Fractional coordinates of all 3 atoms:
Ce (0.0000, 0.0000, 0.0000)  3 U 2.84, 6 Co 3.12-3.15
U (0.6667, 0.3333, 0.6333)  3 Co 2.51
Co (0.3333, 0.6667, 0.5065)  3 U 2.51

Entry 5:
CeUCo4 after structural relaxation. Source: Alexandria, functional GGA-PBE.

Computed properties:
- formation energy (eV per formula unit) = -1.32
- spin magnetization (μB per formula unit) = 0.07
- N(E_F) (states/eV/atom) = 0.69
- space group = F-43m (216)

Cell: 4.9296 4.9296 4.9296 Å, 60.00 60.00 60.00°
Closest atoms and distances in Å follow each position.
Fractional coordinates of all 6 atoms:
Ce (0.0000, 0.0000, 0.0000)  12 Co 2.89, 4 U 3.02
U (0.7500, 0.7500, 0.7500)  12 Co 2.89, 4 Ce 3.02
Co (0.3758, 0.3758, 0.3758)  6 Co 2.45-2.48
Co (0.3758, 0.3758, 0.8727)  6 Co 2.45-2.48
Co (0.3758, 0.8727, 0.3758)  6 Co 2.45-2.48
Co (0.8727, 0.3758, 0.3758)  6 Co 2.45-2.48

Entry 6:
CeUCo after structural relaxation. Source: Alexandria, functional GGA-PBE.

Computed properties:
- formation energy (eV per formula unit) = 0.41
- spin magnetization (μB per formula unit) = 0.00
- N(E_F) (states/eV/atom) = 2.22
- space group = R-3m (166)

Cell: 10.4309 10.4309 10.4309 Å, 20.99 20.99 20.99°
Closest atoms and distances in Å follow each position.
Fractional coordinates of all 6 atoms:
Ce (0.0613, 0.0613, 0.0613)  3 Co 2.59
Ce (0.9387, 0.9387, 0.9387)  3 Co 2.59
U (0.1872, 0.1872, 0.1872)  3 U 2.53
U (0.8128, 0.8128, 0.8128)  3 U 2.53
Co (0.3171, 0.3171, 0.3171)  3 Co 2.41, 3 Ce 2.59
Co (0.6829, 0.6829, 0.6829)  3 Co 2.41, 3 Ce 2.59

Entry 7:
Ce2UCo9 after structural relaxation. Source: Alexandria, functional GGA-PBE.

Computed properties:
- formation energy (eV per formula unit) = -1.90
- spin magnetization (μB per formula unit) = 4.49
- N(E_F) (states/eV/atom) = 1.56
- space group = R-3m (166)

Cell: 8.7916 8.7916 8.7916 Å, 31.93 31.93 31.93°
Closest atoms and distances in Å follow each position.
Fractional coordinates of all 12 atoms:
Ce (0.1391, 0.1391, 0.1391)  9 Co 2.84-2.88, 3 Ce 3.12
Ce (0.8609, 0.8609, 0.8609)  9 Co 2.84-2.88, 3 Ce 3.12
U (0.0000, 0.0000, 0.0000)  6 Co 2.79
Co (0.0807, 0.5794, 0.5794)  7 Co 2.41-2.58
Co (0.3332, 0.3332, 0.3332)  6 Co 2.44
Co (0.4206, 0.4206, 0.9192)  7 Co 2.41-2.58
Co (0.4206, 0.9193, 0.4206)  7 Co 2.41-2.58
Co (0.5000, 0.5000, 0.5000)  6 Co 2.58, 6 Ce 2.88
Co (0.5794, 0.0808, 0.5794)  7 Co 2.41-2.58
Co (0.5794, 0.5794, 0.0808)  7 Co 2.41-2.58
Co (0.6668, 0.6668, 0.6668)  6 Co 2.44
Co (0.9192, 0.4206, 0.4206)  7 Co 2.41-2.58

Entry 8:
CeVCo after structural relaxation. Source: Alexandria, functional GGA-PBE.

Computed properties:
- formation energy (eV per formula unit) = 0.13
- spin magnetization (μB per formula unit) = 0.00
- N(E_F) (states/eV/atom) = 1.60
- space group = I4mm (107)

Cell: 6.0969 6.0969 6.0969 Å, 152.11 152.11 39.86°
Closest atoms and distances in Å follow each position.
Fractional coordinates of all 3 atoms:
Ce (0.0000, 0.0000, 0.0000)  4 Ce 2.94, 4 Co 3.06, 4 V 3.11
V (0.7016, 0.7016, 0.0000)  4 Co 2.39
Co (0.3039, 0.3039, 0.0000)  4 V 2.39

Question: spin magnetization of number 4 (CeUCo)?
Answer: 1.45 μB per formula unit

Copy entry 5 word for word.
CeUCo4 after structural relaxation. Source: Alexandria, functional GGA-PBE.

Computed properties:
- formation energy (eV per formula unit) = -1.32
- spin magnetization (μB per formula unit) = 0.07
- N(E_F) (states/eV/atom) = 0.69
- space group = F-43m (216)

Cell: 4.9296 4.9296 4.9296 Å, 60.00 60.00 60.00°
Closest atoms and distances in Å follow each position.
Fractional coordinates of all 6 atoms:
Ce (0.0000, 0.0000, 0.0000)  12 Co 2.89, 4 U 3.02
U (0.7500, 0.7500, 0.7500)  12 Co 2.89, 4 Ce 3.02
Co (0.3758, 0.3758, 0.3758)  6 Co 2.45-2.48
Co (0.3758, 0.3758, 0.8727)  6 Co 2.45-2.48
Co (0.3758, 0.8727, 0.3758)  6 Co 2.45-2.48
Co (0.8727, 0.3758, 0.3758)  6 Co 2.45-2.48